1.
! PBE Nb5Rh3Au3, optimized geometry; values from VASP
! Magnetization, μB per formula unit: 0.00
! ΔE_f, meV per atom: 360
! Density of states at the Fermi level, states/eV/f.u.: 16.49
! ρ, Mg/m³: 11.224
! Calculated volume, Å³/atom: 18.348
&SYSTEM
  ibrav = 0, nat = 11, ntyp = 3
/
ATOMIC_SPECIES
Nb 92.91 Nb.upf
Rh 102.91 Rh.upf
Au 196.97 Au.upf
ATOMIC_POSITIONS angstrom
Nb 4.5662 -2.6363 1.3972
Nb 4.5662 2.6363 1.3972
Nb 1.4425 2.4985 1.3972
Nb 1.4425 -2.4985 1.3972
Nb 6.2473 0.0000 1.3972
Rh 3.8059 6.5921 1.3972
Rh 3.8059 -6.5921 1.3972
Rh 1.5205 0.0000 1.3972
Au 2.6496 4.5893 0.0000
Au 3.8331 0.0000 0.0000
Au 2.6496 -4.5893 0.0000
CELL_PARAMETERS angstrom
4.5662 -7.9088 0.0000
4.5662 7.9088 0.0000
0.0000 0.0000 2.7944

=====

2.
! PBE Nb3Rh3Au, optimized geometry; values from VASP
! Magnetization, μB per formula unit: 0.00
! ΔE_f, meV per atom: -271
! Density of states at the Fermi level, states/eV/f.u.: 7.30
! ρ, Mg/m³: 11.388
! Polymorph energy (0 for the lowest one), meV per atom: 0
! Calculated volume, Å³/atom: 16.339
&SYSTEM
  ibrav = 0, nat = 14, ntyp = 3
/
ATOMIC_SPECIES
Nb 92.91 Nb.upf
Rh 102.91 Rh.upf
Au 196.97 Au.upf
ATOMIC_POSITIONS angstrom
Nb 3.4342 2.7384 3.6587
Nb 3.4342 3.0574 0.5422
Nb 3.4342 5.5968 2.3767
Nb 1.1447 1.0591 2.9189
Nb 1.1447 0.7402 6.0353
Nb 1.1447 -1.7993 4.2009
Rh 1.1447 3.2231 5.0476
Rh 1.1447 1.6121 0.2675
Rh 1.1447 6.5573 1.2624
Rh 3.4342 0.5744 1.5299
Rh 3.4342 2.1854 6.3100
Rh 3.4342 -2.7598 5.3151
Au 1.1447 3.7975 2.1925
Au 3.4342 0.0000 4.3850
CELL_PARAMETERS angstrom
4.5789 0.0000 0.0000
0.0000 7.5951 0.0000
0.0000 -3.7975 6.5775

=====

3.
! PBE Nb2RhAu, optimized geometry; values from VASP
! Magnetization, μB per formula unit: 0.00
! ΔE_f, meV per atom: -275
! Density of states at the Fermi level, states/eV/f.u.: 2.89
! ρ, Mg/m³: 11.951
! Calculated volume, Å³/atom: 16.871
&SYSTEM
  ibrav = 0, nat = 4, ntyp = 3
/
ATOMIC_SPECIES
Nb 92.91 Nb.upf
Rh 102.91 Rh.upf
Au 196.97 Au.upf
ATOMIC_POSITIONS angstrom
Nb 0.0000 0.0000 2.2035
Nb 0.0000 0.0000 6.0913
Rh 1.3161 1.5261 4.1474
Au 1.3161 1.5261 0.0000
CELL_PARAMETERS angstrom
2.8447 0.2078 0.0000
-0.2125 2.8444 0.0000
0.0000 0.0000 8.2949

=====

4.
! PBE Nb2Rh3Au2, optimized geometry; values from VASP
! Magnetization, μB per formula unit: 0.00
! ΔE_f, meV per atom: -261
! Density of states at the Fermi level, states/eV/f.u.: 4.36
! ρ, Mg/m³: 12.191
! Polymorph energy (0 for the lowest one), meV per atom: 0
! Calculated volume, Å³/atom: 17.288
&SYSTEM
  ibrav = 0, nat = 7, ntyp = 3
/
ATOMIC_SPECIES
Nb 92.91 Nb.upf
Rh 102.91 Rh.upf
Au 196.97 Au.upf
ATOMIC_POSITIONS angstrom
Nb 2.4029 1.4584 0.3254
Nb -0.6527 2.2190 5.9587
Rh 0.0000 0.0000 0.0000
Rh 1.4765 0.8976 5.3148
Rh 0.2737 2.7798 0.9693
Au 0.7432 0.4515 2.6304
Au 1.0071 3.2259 3.6537
CELL_PARAMETERS angstrom
4.2894 -0.0112 -1.1944
-2.3212 3.8199 -0.0019
-0.2179 -0.1313 7.4804

=====

5.
! PBE Nb5Rh4Au, optimized geometry; values from VASP
! Magnetization, μB per formula unit: 0.00
! ΔE_f, meV per atom: -351
! Density of states at the Fermi level, states/eV/f.u.: 11.49
! ρ, Mg/m³: 10.885
! Calculated volume, Å³/atom: 16.371
&SYSTEM
  ibrav = 0, nat = 10, ntyp = 3
/
ATOMIC_SPECIES
Nb 92.91 Nb.upf
Rh 102.91 Rh.upf
Au 196.97 Au.upf
ATOMIC_POSITIONS angstrom
Nb 1.4299 1.4299 2.2153
Nb 1.4299 1.4299 6.0989
Nb 1.4299 1.4299 10.0082
Nb 1.4299 1.4299 13.9176
Nb 1.4299 1.4299 17.8012
Rh 0.0000 0.0000 4.1245
Rh 0.0000 0.0000 8.0636
Rh 0.0000 0.0000 11.9529
Rh 0.0000 0.0000 15.8920
Au 0.0000 0.0000 0.0000
CELL_PARAMETERS angstrom
2.8599 0.0000 0.0000
0.0000 2.8599 0.0000
0.0000 0.0000 20.0165

=====

6.
! PBE Nb4Rh7Au, optimized geometry; values from VASP
! Magnetization, μB per formula unit: 0.00
! ΔE_f, meV per atom: -17
! Density of states at the Fermi level, states/eV/f.u.: 8.80
! ρ, Mg/m³: 10.358
! Calculated volume, Å³/atom: 17.219
&SYSTEM
  ibrav = 0, nat = 12, ntyp = 3
/
ATOMIC_SPECIES
Nb 92.91 Nb.upf
Rh 102.91 Rh.upf
Au 196.97 Au.upf
ATOMIC_POSITIONS angstrom
Nb 4.8267 2.0782 3.2027
Nb 4.8267 6.4506 2.1768
Nb 7.2400 5.7886 4.5092
Nb 2.4133 2.7402 0.8703
Rh 7.2400 7.5704 2.7957
Rh 2.4133 0.9585 2.5839
Rh 2.4133 5.4096 1.0993
Rh 7.2400 3.1193 4.2802
Rh 4.8267 4.7185 3.9529
Rh 2.4133 0.0000 0.0000
Rh 4.8267 3.8104 1.4266
Au 0.0000 0.0000 0.0000
CELL_PARAMETERS angstrom
4.8267 0.0000 0.0000
2.4133 8.1007 0.0901
2.4133 0.4282 5.2894

=====

7.
! PBE Nb2Rh2Au, optimized geometry; values from VASP
! Magnetization, μB per formula unit: 0.00
! ΔE_f, meV per atom: -149
! Density of states at the Fermi level, states/eV/f.u.: 3.71
! ρ, Mg/m³: 11.243
! Polymorph energy (0 for the lowest one), meV per atom: 156
! Calculated volume, Å³/atom: 17.387
&SYSTEM
  ibrav = 0, nat = 10, ntyp = 3
/
ATOMIC_SPECIES
Rh 102.91 Rh.upf
Nb 92.91 Nb.upf
Au 196.97 Au.upf
ATOMIC_POSITIONS angstrom
Rh 4.2570 -3.0938 -0.7677
Rh 5.6015 -4.4610 -4.5832
Rh 1.7545 -3.6261 -6.2380
Rh 0.4100 -2.2589 -2.4225
Nb 6.1088 -2.6252 -2.6815
Nb 4.3587 -2.9914 -6.4823
Nb 0.7523 -1.4588 -4.9694
Nb 2.5025 -1.0926 -1.1686
Au 0.0000 0.0000 0.0000
Au 3.4306 -2.0420 -3.8254
CELL_PARAMETERS angstrom
-0.5788 -1.6774 -7.6155
7.4399 -2.4066 -0.0353
-0.8496 -2.6359 0.6452

=====

8.
! PBE Nb2RhAu, optimized geometry; values from VASP
! Magnetization, μB per formula unit: 0.00
! ΔE_f, meV per atom: -225
! Density of states at the Fermi level, states/eV/f.u.: 2.13
! ρ, Mg/m³: 11.647
! Calculated volume, Å³/atom: 17.311
&SYSTEM
  ibrav = 0, nat = 8, ntyp = 3
/
ATOMIC_SPECIES
Nb 92.91 Nb.upf
Rh 102.91 Rh.upf
Au 196.97 Au.upf
ATOMIC_POSITIONS angstrom
Nb 1.5449 -2.3885 -0.5490
Nb -1.6407 -5.1994 2.0754
Nb -4.2807 -3.5732 2.9204
Nb 4.1849 -4.0147 -1.3940
Rh -1.8299 -2.5820 2.5816
Rh 1.7341 -5.0059 -1.0552
Au -1.0904 -3.3006 -0.1199
Au 0.9946 -4.2873 1.6464
CELL_PARAMETERS angstrom
-1.8338 -1.8892 -2.0936
5.5511 -3.4575 -1.7422
-3.8131 -2.2412 5.3622

=====

9.
! PBE Nb2Rh2Au, optimized geometry; values from VASP
! Magnetization, μB per formula unit: 0.00
! ΔE_f, meV per atom: -187
! Density of states at the Fermi level, states/eV/f.u.: 2.82
! ρ, Mg/m³: 11.444
! Polymorph energy (0 for the lowest one), meV per atom: 118
! Calculated volume, Å³/atom: 17.081
&SYSTEM
  ibrav = 0, nat = 5, ntyp = 3
/
ATOMIC_SPECIES
Nb 92.91 Nb.upf
Rh 102.91 Rh.upf
Au 196.97 Au.upf
ATOMIC_POSITIONS angstrom
Nb -4.6204 -6.7174 -0.6988
Nb -1.6617 -2.5653 0.1609
Rh -2.1222 -5.3166 -0.5138
Rh -4.1599 -3.9660 -0.0241
Au 0.0000 0.0000 0.0000
CELL_PARAMETERS angstrom
-2.3538 -2.5286 -2.8202
0.3343 -4.9005 0.5887
-4.2626 -1.8536 1.6936

=====

10.
! PBE Nb2Rh3Au2, optimized geometry; values from VASP
! Magnetization, μB per formula unit: 0.00
! ΔE_f, meV per atom: -148
! Density of states at the Fermi level, states/eV/f.u.: 6.64
! ρ, Mg/m³: 12.831
! Polymorph energy (0 for the lowest one), meV per atom: 114
! Calculated volume, Å³/atom: 16.426
&SYSTEM
  ibrav = 0, nat = 7, ntyp = 3
/
ATOMIC_SPECIES
Nb 92.91 Nb.upf
Rh 102.91 Rh.upf
Au 196.97 Au.upf
ATOMIC_POSITIONS angstrom
Nb 1.9854 2.9834 3.6954
Nb -0.0015 1.0852 2.4584
Rh 0.0000 0.0000 0.0000
Rh 1.9810 1.8481 0.9481
Rh 0.0029 2.2205 5.2058
Au 1.9796 0.2766 4.4901
Au 0.0043 3.7920 1.6638
CELL_PARAMETERS angstrom
3.9580 -0.0058 0.0005
-1.9722 4.6515 -0.1093
-0.0019 -0.5771 6.2626

=====

11.
! PBE Nb2RhAu, optimized geometry; values from VASP
! Magnetization, μB per formula unit: 0.00
! ΔE_f, meV per atom: -278
! Density of states at the Fermi level, states/eV/f.u.: 3.90
! ρ, Mg/m³: 12.047
! Calculated volume, Å³/atom: 16.737
&SYSTEM
  ibrav = 0, nat = 4, ntyp = 3
/
ATOMIC_SPECIES
Rh 102.91 Rh.upf
Nb 92.91 Nb.upf
Au 196.97 Au.upf
ATOMIC_POSITIONS angstrom
Rh -0.6665 1.3957 -1.3863
Nb -1.8697 -0.1933 0.7043
Nb -0.3442 -1.4739 -1.3184
Au -2.8804 -0.2716 -2.0004
CELL_PARAMETERS angstrom
-1.3330 2.7913 -2.7726
-0.6884 -2.9478 -2.6367
-3.7393 -0.3866 1.4085

=====

12.
! PBE NbRhAu2, optimized geometry; values from VASP
! Magnetization, μB per formula unit: 0.00
! ΔE_f, meV per atom: 10
! Density of states at the Fermi level, states/eV/f.u.: 5.35
! ρ, Mg/m³: 14.407
! Calculated volume, Å³/atom: 16.993
&SYSTEM
  ibrav = 0, nat = 4, ntyp = 3
/
ATOMIC_SPECIES
Rh 102.91 Rh.upf
Nb 92.91 Nb.upf
Au 196.97 Au.upf
ATOMIC_POSITIONS angstrom
Rh -4.9939 -2.2111 1.2841
Nb 0.0000 0.0000 0.0000
Au -2.4969 -1.1055 0.6421
Au -7.4908 -3.3166 1.9262
CELL_PARAMETERS angstrom
-3.2457 -0.2901 3.2196
-4.4124 -0.2275 -1.2098
-2.3297 -3.9045 0.5585